Arrangement A

The following is a PBE calculation of a relaxed Li2Zn2Rh crystal, from Alexandria.

Cell lengths 6.6244, 6.6244, 3.3010 Å; angles 90.00, 90.00, 90.00 degrees
Fractional coordinates of all 10 atoms:
1 Li 0.1692 0.3308 0.0000
2 Li 0.3308 0.8308 0.0000
3 Li 0.6692 0.1692 0.0000
4 Li 0.8308 0.6692 0.0000
5 Zn 0.1375 0.6375 0.5000
6 Zn 0.3625 0.1375 0.5000
7 Zn 0.6375 0.8625 0.5000
8 Zn 0.8625 0.3625 0.5000
9 Rh 0.0000 0.0000 0.5000
10 Rh 0.5000 0.5000 0.5000

Its density of states at the Fermi level is 0.37 states/eV per atom.

---

Arrangement B

The following is a PBE calculation of a relaxed Li2Zn2Rh crystal, from Alexandria.

Cell lengths 6.6763, 6.6763, 2.9522 Å; angles 90.00, 90.00, 90.00 degrees
Fractional coordinates of all 10 atoms:
1 Li 0.1290 0.3710 0.0000
2 Li 0.3710 0.8710 0.0000
3 Li 0.6290 0.1290 0.0000
4 Li 0.8710 0.6290 0.0000
5 Zn 0.1733 0.6733 0.5000
6 Zn 0.3267 0.1733 0.5000
7 Zn 0.6733 0.8267 0.5000
8 Zn 0.8267 0.3267 0.5000
9 Rh 0.0000 0.0000 0.0000
10 Rh 0.5000 0.5000 0.0000

Its density of states at the Fermi level is 0.34 states/eV per atom.

---

Last place for stability: arrangement B

---

Arrangement A

The following is a PBE calculation of a relaxed Li2Zn6Rh crystal, from Alexandria.

Cell lengths 7.5313, 7.5313, 2.6507 Å; angles 90.00, 90.00, 120.00 degrees
Fractional coordinates of all 9 atoms:
1 Li 0.3333 0.6667 0.0000
2 Li 0.6667 0.3333 0.0000
3 Zn 0.0000 0.3358 0.7191
4 Zn 0.0000 0.6642 0.2809
5 Zn 0.3358 0.0000 0.7191
6 Zn 0.3358 0.3358 0.2809
7 Zn 0.6642 0.0000 0.2809
8 Zn 0.6642 0.6642 0.7191
9 Rh 0.0000 0.0000 0.5000

Its density of states at the Fermi level is 0.29 states/eV per atom.

---

Arrangement B

The following is a PBE calculation of a relaxed Li2Zn6Rh crystal, from Alexandria.

Cell lengths 4.2714, 4.2714, 8.0513 Å; angles 90.00, 90.00, 120.00 degrees
Fractional coordinates of all 9 atoms:
1 Li 0.3333 0.6667 0.2904
2 Li 0.6667 0.3333 0.7096
3 Zn 0.0000 0.0000 0.1749
4 Zn 0.0000 0.0000 0.8251
5 Zn 0.3333 0.6667 0.6116
6 Zn 0.3333 0.6667 0.9474
7 Zn 0.6667 0.3333 0.0526
8 Zn 0.6667 0.3333 0.3884
9 Rh 0.0000 0.0000 0.5000

Its density of states at the Fermi level is 0.23 states/eV per atom.

---

Last place for stability: arrangement A

---

Arrangement A

The following is a PBE calculation of a relaxed Li3Zn3Rh crystal, from Alexandria.

Cell lengths 7.3286, 7.3286, 4.3423 Å; angles 90.00, 90.00, 120.00 degrees
Fractional coordinates of all 14 atoms:
1 Li 0.0446 0.7955 0.2500
2 Li 0.2045 0.2491 0.2500
3 Li 0.2491 0.0446 0.7500
4 Li 0.7509 0.9554 0.2500
5 Li 0.7955 0.7509 0.7500
6 Li 0.9554 0.2045 0.7500
7 Zn 0.0937 0.6049 0.7500
8 Zn 0.3951 0.4888 0.7500
9 Zn 0.4888 0.0937 0.2500
10 Zn 0.5112 0.9063 0.7500
11 Zn 0.6049 0.5112 0.2500
12 Zn 0.9063 0.3951 0.2500
13 Rh 0.3333 0.6667 0.2500
14 Rh 0.6667 0.3333 0.7500

Its density of states at the Fermi level is 0.27 states/eV per atom.

---

Arrangement B

The following is a PBE calculation of a relaxed Li3Zn3Rh crystal, from Alexandria.

Cell lengths 7.1464, 7.1464, 7.1464 Å; angles 53.00, 53.00, 53.00 degrees
Fractional coordinates of all 14 atoms:
1 Li 0.0560 0.5814 0.2237
2 Li 0.2237 0.0560 0.5814
3 Li 0.4186 0.7763 0.9440
4 Li 0.5814 0.2237 0.0560
5 Li 0.7763 0.9440 0.4186
6 Li 0.9440 0.4186 0.7763
7 Zn 0.2034 0.6979 0.4324
8 Zn 0.3021 0.5676 0.7966
9 Zn 0.4324 0.2034 0.6979
10 Zn 0.5676 0.7966 0.3021
11 Zn 0.6979 0.4324 0.2034
12 Zn 0.7966 0.3021 0.5676
13 Rh 0.1626 0.1626 0.1626
14 Rh 0.8374 0.8374 0.8374

Its density of states at the Fermi level is 0.45 states/eV per atom.

---

Last place for stability: arrangement B

---

Arrangement A

The following is a PBE calculation of a relaxed LiZn2Rh2 crystal, from Alexandria.

Cell lengths 10.9985, 10.9985, 4.3548 Å; angles 90.00, 90.00, 164.86 degrees
Fractional coordinates of all 10 atoms:
1 Li 0.1409 0.8591 0.7500
2 Li 0.8591 0.1409 0.2500
3 Zn 0.3401 0.6599 0.7500
4 Zn 0.4598 0.5402 0.2500
5 Zn 0.5402 0.4598 0.7500
6 Zn 0.6599 0.3401 0.2500
7 Rh 0.0615 0.9385 0.2500
8 Rh 0.2592 0.7408 0.2500
9 Rh 0.7408 0.2592 0.7500
10 Rh 0.9385 0.0615 0.7500

Its density of states at the Fermi level is 0.35 states/eV per atom.

---

Arrangement B

The following is a PBE calculation of a relaxed LiZn2Rh2 crystal, from Alexandria.

Cell lengths 6.4917, 6.4917, 6.4917 Å; angles 146.51, 146.51, 48.10 degrees
Fractional coordinates of all 5 atoms:
1 Li 0.0000 0.0000 0.0000
2 Zn 0.3984 0.3984 0.0000
3 Zn 0.6016 0.6016 0.0000
4 Rh 0.2500 0.7500 0.5000
5 Rh 0.7500 0.2500 0.5000

Its density of states at the Fermi level is 0.86 states/eV per atom.

---

Last place for stability: arrangement B